# NaScSn2Cl8

A relaxed structure of NaScSn2Cl8 (PBE, Alexandria via LeMat-Bulk).

Lattice parameters (Å, degrees): 6.398 6.664 8.196 90.04 90.00 91.60
Atoms (fractional coordinates):
Na  0.000  0.000  0.000
Sc  0.000  0.000  0.500
Sn  0.500  0.499  0.747
Sn  0.500  0.501  0.253
Cl  0.220  0.154  0.275
Cl  0.221  0.153  0.726
Cl  0.224  0.698  0.499
Cl  0.281  0.659  0.000
Cl  0.719  0.341  0.000
Cl  0.776  0.302  0.501
Cl  0.779  0.847  0.274
Cl  0.780  0.846  0.725

## Properties
Electronic total energy = -4.03 eV per atom
Space group = P-1, No. 2
Fermi-level density of states = 0.000 states/eV per cell